No. 1
Here is a relaxed CsRb3Sr crystal from the Alexandria database. Energies are from GGA-PBE.

Summary:
As for the formation enthalpy at 0 K: 286 meV/atom. As for the energy above the lowest structure with this stoichiometry: 0.0000 eV per atom. For the magnetic moment, the calculation gives 0.000 Bohr magnetons per cell.

Lattice parameters (Å, degrees): 8.3038 8.3038 8.3038 90.00 90.00 90.00
Space group Pm-3m (No. 221)
One atom of each set of equivalent atoms:
Cs  0.0000  0.0000  0.0000 (multiplicity 1)
Rb  0.0000  0.5000  0.5000 (multiplicity 3)
Sr  0.5000  0.5000  0.5000 (multiplicity 1)

No. 2
Here is a relaxed LiCeGaFe crystal from the Alexandria database. Energies are from GGA-PBE.

Summary:
As for the formation enthalpy at 0 K: -122 meV/atom. For the magnetic moment, the calculation gives 6.532 Bohr magnetons per cell.

Lattice parameters (Å, degrees): 6.4206 6.4206 6.4206 90.00 90.00 90.00
Space group F-43m (No. 216)
One atom of each set of equivalent atoms:
Li  0.0000  0.0000  0.0000 (multiplicity 4)
Ce  0.2500  0.2500  0.7500 (multiplicity 4)
Ga  0.2500  0.2500  0.2500 (multiplicity 4)
Fe  0.0000  0.0000  0.5000 (multiplicity 4)

No. 3
Here is a relaxed Th3Zn2Rh3 crystal from the Alexandria database. Energies are from GGA-PBE.

Summary:
As for the formation enthalpy at 0 K: -662 meV/atom. For the magnetic moment, the calculation gives 0.000 Bohr magnetons per cell.

Lattice parameters (Å, degrees): 8.3209 8.3209 5.7050 90.00 90.00 120.00
Space group P6_3/mcm (No. 193)
One atom of each set of equivalent atoms:
Th  0.0000  0.2738  0.2500 (multiplicity 6)
Zn  0.3333  0.6667  0.0000 (multiplicity 4)
Rh  0.0000  0.3890  0.7500 (multiplicity 6)

No. 4
Here is a relaxed Tb4Dy6Er crystal from the Alexandria database. Energies are from GGA-PBE.

Summary:
As for the formation enthalpy at 0 K: 438 meV/atom. As for the energy above the lowest structure with this stoichiometry: 0.3087 eV per atom. For the magnetic moment, the calculation gives 0.000 Bohr magnetons per cell.

Lattice parameters (Å, degrees): 7.5002 7.5002 13.1949 90.00 90.00 90.00
Space group I-42m (No. 121)
One atom of each set of equivalent atoms:
Tb  0.1686  0.1686  0.4219 (multiplicity 8)
Dy  0.0000  0.5000  0.0000 (multiplicity 4)
Dy  0.2343  0.2343  0.1857 (multiplicity 8)
Er  0.0000  0.0000  0.0000 (multiplicity 2)

No. 5
Here is a relaxed TaN crystal from the Alexandria database. Energies are from GGA-PBE.

Summary:
The calculation puts the energy relative to the elements, uncorrected at -1.15 eV per atom. For the magnetic moment, the calculation gives 0.000 Bohr magnetons per cell.

Lattice parameters (Å, degrees): 2.9545 2.9545 2.9001 90.00 90.00 120.00
Space group P-6m2 (No. 187)
One atom of each set of equivalent atoms:
Ta  0.0000  0.0000  0.0000 (multiplicity 1)
N  0.6667  0.3333  0.5000 (multiplicity 1)

No. 6
Here is a relaxed YSi2Tc3 crystal from the Alexandria database. Energies are from GGA-PBE.

Summary:
The calculation puts the energy relative to the elements, uncorrected at -0.29 eV per atom. For the magnetic moment, the calculation gives 0.000 Bohr magnetons per cell.

Lattice parameters (Å, degrees): 4.0813 7.7429 12.5618 90.00 90.00 90.00
Space group Immm (No. 71)
One atom of each set of equivalent atoms:
Y  0.0000  0.0000  0.1283 (multiplicity 4)
Si  0.0000  0.3082  0.5000 (multiplicity 4)
Si  0.0000  0.5000  0.1897 (multiplicity 4)
Tc  0.0000  0.2049  0.3129 (multiplicity 8)
Tc  0.0000  0.3496  0.0000 (multiplicity 4)